The following is a DFT calculation (PBE) of an optimized crystal structure of FeHSe2.

Summary:
- Size of the total moment: 1.000 μB per formula unit
- D(E_F): 0.946 states/eV/atom
- Energy: -4.760 eV/atom
- Symmetry: No. 166

Lattice parameters (Å, degrees): 6.300 6.300 6.300 33.32 33.32 33.32
Last column: magnetic moment on the atom in μB.
Positions (direct):
1 H 0.000 0.000 0.000  -0.01
2 Fe 0.500 0.500 0.500  0.91
3 Se 0.901 0.901 0.901  0.03
4 Se 0.099 0.099 0.099  0.03